GGA-PBE Sc2RhW, relaxed; M_tot = 0.00 μB/f.u.; ΔE to the lowest computed polymorph = 513 meV/atom
1.0
7.336 0.000 0.000
0.000 7.336 0.000
0.000 0.000 5.604
Sc Rh W
8 4 4
Cartesian
1.620 1.834 0.700
1.834 5.288 2.101
1.834 5.716 4.903
2.048 1.834 3.502
5.288 5.502 3.502
5.502 1.620 4.903
5.502 2.048 2.101
5.716 5.502 0.700
0.000 0.000 0.000
0.000 3.668 1.401
3.668 0.000 4.203
3.668 3.668 2.802
0.000 0.000 2.802
0.000 3.668 4.203
3.668 0.000 1.401
3.668 3.668 0.000

GGA-PBE Sc2Rh2W, relaxed; M_tot = 0.00 μB/f.u.
1.0
7.417 0.000 0.000
0.000 7.417 0.000
0.000 0.000 3.126
Sc Rh W
4 4 2
Cartesian
1.220 2.488 0.000
2.488 6.197 0.000
4.928 1.220 0.000
6.197 4.928 0.000
1.012 4.721 1.563
2.696 1.012 1.563
4.721 6.404 1.563
6.404 2.696 1.563
0.000 0.000 1.563
3.708 3.708 1.563

GGA-PBE Sc2RhW, relaxed; M_tot = 0.00 μB/f.u.; ΔE to the lowest computed polymorph = 0 meV/atom
1.0
3.137 0.000 0.000
0.000 3.185 0.000
0.000 0.000 7.081
Sc Rh W
2 1 1
Cartesian
0.000 0.000 1.647
0.000 0.000 5.434
1.569 1.593 0.000
1.569 1.593 3.540

GGA-PBE Sc2RhW, relaxed; M_tot = 0.00 μB/f.u.; ΔE to the lowest computed polymorph = 240 meV/atom
1.0
2.962 0.000 0.000
0.000 4.391 0.000
0.000 0.000 5.515
Sc Rh W
2 1 1
Cartesian
0.000 0.000 0.000
1.481 2.195 1.589
1.481 2.195 4.208
0.000 0.000 2.857

GGA-PBE Sc2RhW, relaxed; M_tot = 0.00 μB/f.u.; ΔE to the lowest computed polymorph = 160 meV/atom
1.0
3.043 0.000 0.000
-1.521 2.635 0.000
0.000 0.000 26.723
Sc Rh W
6 3 3
Cartesian
0.000 0.000 6.542
0.000 0.000 20.182
0.000 1.757 11.274
0.000 1.757 24.357
1.521 0.878 2.366
1.521 0.878 15.450
0.000 0.000 13.362
0.000 1.757 4.454
1.521 0.878 22.269
0.000 0.000 0.000
0.000 1.757 17.816
1.521 0.878 8.908

GGA-PBE ScRhW2, relaxed; M_tot = 0.00 μB/f.u.; ΔE to the lowest computed polymorph = 185 meV/atom
1.0
3.257 0.000 0.000
0.000 4.702 0.000
0.000 0.000 8.724
Sc Rh W
2 2 4
Cartesian
0.000 0.000 0.000
1.628 2.351 4.362
0.000 2.351 2.151
1.628 0.000 6.513
0.000 0.000 4.360
0.000 2.351 6.724
1.628 0.000 2.362
1.628 2.351 8.722

In eV/atom, the ΔE_f values for the records above are, in order, 0.280; -0.258; -0.233; 0.007; -0.073; 0.051.